A geometry-optimized GaNi2F structure, computed with GGA+U.

Unit cell a=4.000 b=4.000 c=4.000 alpha=60.00 beta=60.00 gamma=60.00
Fractional coordinates of all 4 atoms:
Ga  0.000  0.000  0.000
Ni  0.250  0.250  0.250
Ni  0.750  0.750  0.750
F  0.500  0.500  0.500

Computed properties:
DOS at the Fermi energy	0.46	states/eV/cell
E above lowest polymorph	1.82	eV per formula unit
uncorrected energy	-2.182	eV/atom